A.
4
Lattice="5.020 0.000 0.000 0.000 5.009 0.000 0.000 0.000 5.009" Properties=species:S:1:pos:R:3 comment="NdEr2Tm PBE optimized geometry" spacegroup="P4/mmm (123)" magnetic_moment_mub_per_atom=0.0006 pbc="T T T"
Er 0.000 2.504 0.000
Er 0.000 0.000 2.504
Tm 2.510 0.000 0.000
Nd 2.510 2.504 2.504



B.
16
Lattice="-0.178 -3.560 -6.294 -4.333 -3.877 2.315 -3.800 10.781 -5.990" Properties=species:S:1:pos:R:3 comment="NdEr2Tm PBE optimized geometry" spacegroup="P2/c (13)" magnetic_moment_mub_per_atom=0.0000 pbc="T T T"
Nd -3.573 8.392 -6.727
Nd -4.382 4.059 -4.253
Nd -4.738 -5.048 -3.243
Nd -3.928 -0.714 -5.717
Tm -1.685 2.108 -5.294
Tm -5.751 5.555 -7.142
Tm -6.626 1.237 -4.675
Tm -2.559 -2.210 -2.828
Er -3.632 6.587 -9.851
Er -1.597 3.882 -2.157
Er -4.500 2.313 -7.409
Er -4.678 -3.242 -0.119
Er -5.841 3.780 -10.279
Er -3.810 1.032 -2.561
Er -2.470 -0.435 0.309
Er -6.714 -0.537 -7.813



The structure with the most favorable energy is B; the runner-up is 17 meV/atom above it.



A.
12
Lattice="6.867 -0.631 1.613 -5.111 7.764 -6.222 4.240 -4.333 11.233" Properties=species:S:1:pos:R:3 comment="Nd3Er5Tm4 PBE optimized geometry" spacegroup="P-1 (2)" magnetic_moment_mub_per_atom=0.0000 pbc="T T T"
Tm 5.847 1.036 6.562
Tm 0.148 1.764 0.062
Tm 1.125 -0.209 2.828
Tm 4.870 3.009 3.796
Nd 1.421 3.311 2.976
Nd 2.120 -2.167 5.617
Nd 4.574 -0.511 3.648
Er 2.582 3.416 -1.898
Er 2.411 1.359 5.763
Er 5.553 -2.482 6.423
Er 3.584 1.441 0.861
Er 3.413 -0.616 8.522



B.
12
Lattice="-1.071 -5.144 -2.130 8.426 -3.676 -2.906 -4.144 -4.995 6.599" Properties=species:S:1:pos:R:3 comment="Nd3Er5Tm4 PBE optimized geometry" spacegroup="C2/m (12)" magnetic_moment_mub_per_atom=0.0201 pbc="T T T"
Nd 4.159 -6.815 -0.725
Nd 2.141 -4.335 1.846
Nd -0.948 -6.999 2.288
Tm 2.958 -8.159 3.123
Tm 5.062 -9.320 -2.674
Tm 0.253 -5.656 -1.560
Tm -1.852 -4.494 4.237
Er 2.736 -3.175 -1.255
Er 4.109 -10.575 0.833
Er -0.899 -3.240 0.729
Er 0.474 -10.640 2.817
Er 1.605 -6.907 0.781



The structure with the most favorable energy is A; the runner-up is 262 meV/atom above it.